No. 1
Compound: NdDy2ErSc
Source: Alexandria via LeMat-Bulk
Functional: PBE
Structure: relaxed

Geometry as POSCAR:
```
NdDy2ErSc
1.0
4.093 -5.619 0.000
4.093 5.619 0.000
0.000 0.000 7.091
Nd Dy Er Sc
2 4 2 2
direct
0.230 0.770 0.750 Nd
0.770 0.230 0.250 Nd
0.197 0.197 0.000 Dy
0.197 0.197 0.500 Dy
0.803 0.803 0.000 Dy
0.803 0.803 0.500 Dy
0.233 0.767 0.250 Er
0.767 0.233 0.750 Er
0.495 0.505 0.750 Sc
0.505 0.495 0.250 Sc
```

Results
Raw total energy   -4.636 eV per atom
Space group   No. 63
Volume   32.6 Å³/atom


No. 2
Compound: Nd5DyEr2Sc
Source: Alexandria via LeMat-Bulk
Functional: PBE
Structure: relaxed

Geometry as POSCAR:
```
Nd5DyEr2Sc
1.0
2.682 -10.924 0.000
2.682 10.924 0.000
0.000 0.000 10.254
Nd Dy Er Sc
10 2 4 2
direct
0.000 0.000 0.000 Nd
0.000 0.000 0.500 Nd
0.127 0.873 0.750 Nd
0.221 0.779 0.063 Nd
0.221 0.779 0.439 Nd
0.499 0.501 0.250 Nd
0.501 0.499 0.750 Nd
0.779 0.221 0.563 Nd
0.779 0.221 0.939 Nd
0.873 0.127 0.250 Nd
0.101 0.899 0.250 Dy
0.899 0.101 0.750 Dy
0.384 0.616 0.503 Er
0.385 0.615 0.997 Er
0.615 0.385 0.497 Er
0.616 0.384 0.003 Er
0.287 0.713 0.751 Sc
0.713 0.287 0.251 Sc
```

Results
Raw total energy   -4.751 eV per atom
Space group   No. 36
Volume   33.4 Å³/atom


No. 3
Compound: Nd6DyErSc2
Source: Alexandria via LeMat-Bulk
Functional: PBE
Structure: relaxed

Geometry as POSCAR:
```
Nd6DyErSc2
1.0
4.542 -7.541 0.000
4.542 7.541 0.000
-1.440 0.000 9.469
Nd Dy Er Sc
12 2 2 4
direct
0.011 0.562 0.184 Nd
0.109 0.763 0.552 Nd
0.237 0.891 0.948 Nd
0.299 0.504 0.381 Nd
0.438 0.989 0.316 Nd
0.496 0.701 0.119 Nd
0.504 0.299 0.881 Nd
0.562 0.011 0.684 Nd
0.701 0.496 0.619 Nd
0.763 0.109 0.052 Nd
0.891 0.237 0.448 Nd
0.989 0.438 0.816 Nd
0.408 0.592 0.750 Dy
0.592 0.408 0.250 Dy
0.028 0.972 0.250 Er
0.972 0.028 0.750 Er
0.196 0.293 0.048 Sc
0.293 0.196 0.548 Sc
0.707 0.804 0.452 Sc
0.804 0.707 0.952 Sc
```

Results
Raw total energy   -4.919 eV per atom
Space group   No. 15
Volume   32.4 Å³/atom


No. 4
Compound: NdDy6Er2Sc3
Source: Alexandria via LeMat-Bulk
Functional: PBE
Structure: relaxed

Geometry as POSCAR:
```
NdDy6Er2Sc3
1.0
3.022 -5.232 0.000
3.022 5.232 0.000
-2.011 0.000 11.290
Nd Dy Er Sc
1 6 2 3
direct
0.000 0.000 0.000 Nd
0.087 0.421 0.260 Dy
0.247 0.247 0.740 Dy
0.421 0.087 0.260 Dy
0.579 0.913 0.740 Dy
0.753 0.753 0.260 Dy
0.913 0.579 0.740 Dy
0.333 0.667 0.000 Er
0.667 0.333 0.000 Er
0.167 0.833 0.500 Sc
0.500 0.500 0.500 Sc
0.833 0.167 0.500 Sc
```

Results
Raw total energy   -4.997 eV per atom
Space group   No. 12
Volume   29.8 Å³/atom


No. 5
Compound: Nd2Dy6Er3Sc
Source: Alexandria via LeMat-Bulk
Functional: PBE
Structure: relaxed

Geometry as POSCAR:
```
Nd2Dy6Er3Sc
1.0
3.057 -5.293 0.000
3.057 5.293 0.000
-2.030 0.000 11.550
Nd Dy Er Sc
2 6 3 1
direct
0.166 0.834 0.000 Nd
0.834 0.166 0.000 Nd
0.086 0.416 0.748 Dy
0.253 0.253 0.252 Dy
0.416 0.086 0.748 Dy
0.584 0.914 0.252 Dy
0.747 0.747 0.748 Dy
0.914 0.584 0.252 Dy
0.000 0.000 0.500 Er
0.334 0.666 0.500 Er
0.666 0.334 0.500 Er
0.500 0.500 0.000 Sc
```

Results
Raw total energy   -4.738 eV per atom
Space group   No. 12
Volume   31.2 Å³/atom


No. 6
Compound: Nd6Dy3Er2Sc
Source: Alexandria via LeMat-Bulk
Functional: PBE
Structure: relaxed

Geometry as POSCAR:
```
Nd6Dy3Er2Sc
1.0
3.115 -5.395 0.000
3.115 5.395 0.000
-2.073 0.000 11.552
Nd Dy Er Sc
6 3 2 1
direct
0.082 0.413 0.247 Nd
0.249 0.249 0.753 Nd
0.413 0.082 0.247 Nd
0.587 0.918 0.753 Nd
0.751 0.751 0.247 Nd
0.918 0.587 0.753 Nd
0.167 0.833 0.500 Dy
0.500 0.500 0.500 Dy
0.833 0.167 0.500 Dy
0.333 0.667 0.000 Er
0.667 0.333 0.000 Er
0.000 0.000 0.000 Sc
```

Results
Raw total energy   -4.799 eV per atom
Space group   No. 12
Volume   32.4 Å³/atom


No. 7
Compound: NdDyEr2Se6
Source: Alexandria via LeMat-Bulk
Functional: PBE
Structure: relaxed

Geometry as POSCAR:
```
NdDyEr2Se6
1.0
3.623 2.092 6.480
-3.623 2.092 6.480
0.000 -4.183 6.480
Nd Dy Er Se
1 1 2 6
direct
0.000 0.000 0.000 Nd
0.495 0.495 0.495 Dy
0.298 0.298 0.298 Er
0.801 0.801 0.801 Er
0.086 0.683 0.417 Se
0.199 0.584 0.902 Se
0.417 0.086 0.683 Se
0.584 0.902 0.199 Se
0.683 0.417 0.086 Se
0.902 0.199 0.584 Se
```

Results
Raw total energy   -5.783 eV per atom
Formation energy (no corrections)   -1.843 eV per atom
Space group   No. 146
Volume   29.5 Å³/atom


No. 8
Compound: Nd2DyErSe5
Source: Alexandria via LeMat-Bulk
Functional: PBE
Structure: relaxed

Geometry as POSCAR:
```
Nd2DyErSe5
1.0
5.100 0.000 0.000
0.000 5.100 0.000
0.000 0.000 10.712
Nd Dy Er Se
2 1 1 5
direct
0.000 0.000 0.184 Nd
0.000 0.000 0.816 Nd
0.500 0.500 0.500 Dy
0.500 0.500 0.000 Er
0.000 0.000 0.500 Se
0.000 0.500 0.000 Se
0.500 0.000 0.000 Se
0.500 0.500 0.254 Se
0.500 0.500 0.746 Se
```

Results
Raw total energy   -5.292 eV per atom
Formation energy (no corrections)   -1.278 eV per atom
Space group   No. 123
Volume   31.0 Å³/atom